A geometry-optimized BaYInGa2 structure. Source: Alexandria, functional PBE.

a = 5.448 Å, b = 5.448 Å, c = 5.726 Å
α = 90.00°, β = 90.00°, γ = 90.00°
Space group P4/mmm (No. 123)
Asymmetric unit:
Ba (0.000, 0.000, 0.000)
Y (0.500, 0.500, 0.000)
In (0.500, 0.500, 0.500)
Ga (0.000, 0.500, 0.500)

Results
* formation enthalpy at 0 K: 0.21 eV per atom
* spin magnetization: 0.00 μB per cell